The following is a DFT calculation (PBE-GGA) of a relaxed ScTcTe2 crystal.

Unit cell a=5.2669 b=3.6577 c=4.5441 alpha=90.00 beta=90.00 gamma=90.00
Each line ends with the local moment (μB).
Atoms (fractional coordinates):
Te (0.5000, 0.3750, 0.2872)  0.01
Te (0.0000, 0.8749, 0.9654)  0.00
Tc (0.5000, 0.8750, 0.7562)  0.54
Sc (0.0000, 0.3750, 0.4912)  0.00

- energy above the most stable polymorph in this dataset (meV per atom) = 91
- formation energy without anion corrections (eV/f.u.) = -1.20
- D(E_F) (states/eV per cell) = 3.5
- final energy (eV/atom) = -6.046
- magnetization (μB per formula unit) = 0.6
- space group = Pmm2, No. 25

The following is a DFT calculation (PBE-GGA) of a relaxed Tm3Tl2H2 crystal.

Unit cell a=3.6793 b=6.0805 c=8.2845 alpha=103.39 beta=90.03 gamma=127.25
Atoms (fractional coordinates):
H (0.2515, 0.7514, 0.0000)
H (0.7485, 0.2486, 0.0000)
Tm (0.0000, 0.0000, 0.0000)
Tm (0.1149, 0.6143, 0.2296)
Tm (0.8851, 0.3857, 0.7704)
Tl (0.8072, 0.8089, 0.6174)
Tl (0.1928, 0.1911, 0.3826)

- D(E_F) (states/eV per cell) = 4.0
- final energy (eV/atom) = -3.980
- magnetization (μB per formula unit) = 0.0
- space group = C2/m, No. 12

The following is a DFT calculation (PBE-GGA) of a relaxed Dy6ScSe8 crystal.

Unit cell a=8.0968 b=8.0968 c=8.0968 alpha=60.00 beta=60.00 gamma=60.00
Atoms (fractional coordinates):
Se (0.2458, 0.2458, 0.7542)
Se (0.7542, 0.2458, 0.2458)
Se (0.2500, 0.2500, 0.2500)
Se (0.7500, 0.7500, 0.7500)
Se (0.2458, 0.7542, 0.2458)
Se (0.7542, 0.7542, 0.2458)
Se (0.2458, 0.7542, 0.7542)
Se (0.7542, 0.2458, 0.7542)
Dy (0.0000, 0.5000, 0.0000)
Dy (0.0000, 0.5000, 0.5000)
Dy (0.0000, 0.0000, 0.5000)
Dy (0.5000, 0.0000, 0.5000)
Dy (0.5000, 0.5000, 0.0000)
Dy (0.5000, 0.0000, 0.0000)
Sc (0.0000, 0.0000, 0.0000)

- formation energy without anion corrections (eV/f.u.) = -27.14
- D(E_F) (states/eV per cell) = 6.8
- final energy (eV/atom) = -5.931
- magnetization (μB per formula unit) = 0.0
- space group = Fm-3m, No. 225

The following is a DFT calculation (PBE-GGA) of a relaxed ErTm2Pt crystal.

Unit cell a=3.7486 b=6.3035 c=9.2410 alpha=90.00 beta=90.00 gamma=107.34
Atoms (fractional coordinates):
Tm (0.1368, 0.2729, 0.4365)
Tm (0.8632, 0.7271, 0.9365)
Tm (0.1368, 0.2729, 0.0635)
Tm (0.8632, 0.7271, 0.5635)
Er (0.4314, 0.8628, 0.2500)
Er (0.5686, 0.1372, 0.7500)
Pt (0.7435, 0.4866, 0.2500)
Pt (0.2565, 0.5134, 0.7500)

- energy above the most stable polymorph in this dataset (meV per atom) = 40
- D(E_F) (states/eV per cell) = 10.6
- final energy (eV/atom) = -5.593
- magnetization (μB per formula unit) = 0.0
- energy relative to the elements (meV per atom) = -706.7
- space group = Cmcm, No. 63